Entry from Alexandria: an optimized crystal structure of Sn2SbBr2 (PBE).

## Properties
E_form (uncorrected) in meV/atom: -318

abc: 7.499 4.327 11.473
angles: 90.00 103.66 90.00
Space group C2/m (No. 12)
Inequivalent atoms, fractional coordinates:
Sn 0.223 0.000 0.159 x4
Sb 0.000 0.500 0.000 x2
Br 0.050 0.000 0.682 x4

=====

Entry from Alexandria: an optimized crystal structure of Cs2YSiSe4 (PBE).

## Properties
E_form (uncorrected) in meV/atom: -1070

abc: 6.824 14.844 26.501
angles: 90.00 90.00 90.00
Space group Fddd (No. 70, origin choice 2)
Inequivalent atoms, fractional coordinates:
Cs 0.125 0.125 0.305 x16
Y 0.125 0.125 0.125 x8
Si 0.125 0.125 0.625 x8
Se 0.089 0.283 0.826 x32

=====

Entry from Alexandria: an optimized crystal structure of HfScGeCl2 (PBE).

## Properties
E_form (uncorrected) in meV/atom: -438

abc: 4.784 4.784 5.562
angles: 90.00 90.00 90.00
Space group P4/mmm (No. 123)
Inequivalent atoms, fractional coordinates:
Hf 0.000 0.000 0.000 x1
Sc 0.500 0.500 0.500 x1
Ge 0.000 0.000 0.500 x1
Cl 0.000 0.500 0.000 x2

=====

Entry from Alexandria: an optimized crystal structure of UCo2Ge4 (PBE).

## Properties
DFT formation energy in meV/atom: -248

abc: 17.085 4.063 6.393
angles: 90.00 90.00 90.00
Space group Pnma (No. 62)
Inequivalent atoms, fractional coordinates:
U 0.138 0.250 0.008 x4
Co 0.032 0.750 0.750 x4
Co 0.209 0.250 0.492 x4
Ge 0.029 0.750 0.142 x4
Ge 0.068 0.250 0.517 x4
Ge 0.182 0.750 0.704 x4
Ge 0.199 0.750 0.288 x4

=====

Entry from Alexandria: an optimized crystal structure of NaLi2TmF6 (PBE).

## Properties
E_form (uncorrected) in meV/atom: -3378

abc: 5.4284 5.4284 14.5457
angles: 90.00 90.00 120.00
Space group R3 (No. 146, hexagonal axes)
Inequivalent atoms, fractional coordinates:
Na 0.0000 0.0000 0.0000 x3
Li 0.0000 0.0000 0.2845 x3
Li 0.0000 0.0000 0.7843 x3
Tm 0.0000 0.0000 0.4955 x3
F 0.0062 0.3630 0.5552 x9
F 0.0201 0.6213 0.0607 x9

=====

Entry from Alexandria: an optimized crystal structure of YIn3Pt (PBE).

## Properties
DFT formation energy in meV/atom: 1144

abc: 5.727 5.727 5.727
angles: 90.00 90.00 90.00
Space group Pm-3m (No. 221)
Inequivalent atoms, fractional coordinates:
Y 0.000 0.000 0.000 x1
In 0.000 0.000 0.500 x3
Pt 0.500 0.500 0.500 x1

=====

Entry from Alexandria: an optimized crystal structure of B2C (PBE).

## Properties
DFT formation energy in meV/atom: 490

abc: 13.445 2.568 5.435
angles: 90.00 104.75 90.00
Space group Cm (No. 8)
Inequivalent atoms, fractional coordinates:
B 0.000 0.000 0.000 x2
B 0.013 0.000 0.434 x2
B 0.077 0.000 0.786 x2
B 0.162 0.500 0.754 x2
B 0.256 0.500 0.173 x2
B 0.299 0.000 0.693 x2
B 0.398 0.000 0.957 x2
B 0.422 0.000 0.314 x2
C 0.098 0.000 0.268 x2
C 0.165 0.500 0.310 x2
C 0.240 0.500 0.590 x2
C 0.314 0.000 0.144 x2

=====

Entry from Alexandria: an optimized crystal structure of Pm3GaPd2 (PBE).

## Properties
DFT formation energy in meV/atom: -699

abc: 3.588 3.588 11.081
angles: 90.00 90.00 90.00
Space group P4/mmm (No. 123)
Inequivalent atoms, fractional coordinates:
Pm 0.000 0.000 0.000 x1
Pm 0.000 0.000 0.328 x2
Ga 0.500 0.500 0.500 x1
Pd 0.500 0.500 0.163 x2

=====

Entry from Alexandria: an optimized crystal structure of Pm4Ho4Sc (PBE).

## Properties
DFT formation energy in meV/atom: 34

abc: 10.667 10.667 5.028
angles: 90.00 90.00 90.00
Space group I4/mmm (No. 139)
Inequivalent atoms, fractional coordinates:
Pm 0.000 0.329 0.000 x8
Ho 0.164 0.164 0.500 x8
Sc 0.000 0.000 0.000 x2

=====

Entry from Alexandria: an optimized crystal structure of Ce3ZnGa2Cu6 (PBE).

## Properties
DFT formation energy in meV/atom: -68

abc: 5.2476 5.2476 9.6693
angles: 90.00 90.00 120.00
Space group P-3m1 (No. 164)
Inequivalent atoms, fractional coordinates:
Ce 0.0000 0.0000 0.0000 x1
Ce 0.3333 0.6667 0.5936 x2
Zn 0.0000 0.0000 0.5000 x1
Ga 0.3333 0.6667 0.0718 x2
Cu 0.1673 0.3345 0.2797 x6

=====

Entry from Alexandria: an optimized crystal structure of CaSnF5 (PBE).

## Properties
E_form (uncorrected) in meV/atom: -2959

abc: 5.840 10.863 8.215
angles: 90.00 109.76 90.00
Space group P2_1/c (No. 14)
Inequivalent atoms, fractional coordinates:
Ca 0.024 0.015 0.249 x4
Sn 0.398 0.244 0.603 x4
F 0.111 0.105 0.566 x4
F 0.144 0.100 0.002 x4
F 0.291 0.643 0.345 x4
F 0.332 0.195 0.335 x4
F 0.363 0.596 0.804 x4

=====

Entry from Alexandria: an optimized crystal structure of Rb2YSn2 (PBE).

## Properties
DFT formation energy in meV/atom: 272

abc: 10.592 10.592 3.314
angles: 90.00 90.00 90.00
Space group P4/mbm (No. 127)
Inequivalent atoms, fractional coordinates:
Rb 0.114 0.386 0.000 x4
Y 0.000 0.000 0.000 x2
Sn 0.184 0.684 0.500 x4

=====

Which DFT total energy belongs to each record? In order, -34.1 -288.7 -26.8 -182.8 -163.9 -15.0 -168.9 -31.9 -86.7 -50.5 -144.3 -30.1 eV/cell.
Which spin magnetization belongs to each record? In order, 0.0 0.0 0.7 2.1 0.1 0.0 0.0 0.0 0.0 2.0 0.0 0.0 μB/f.u..